Entry from Alexandria via LeMat-Bulk: an optimized crystal structure of Dy6TmSc4 (PBE).

The structure in POSCAR format:
```
Dy6TmSc4
1.0
6.3622 0.0000 0.0000
0.0000 6.3622 0.0000
-3.1811 -3.1811 8.2089
Dy Tm Sc
6 1 4
Cartesian
4.3830 1.9792 2.9339
1.9792 4.3830 2.9339
1.2019 1.2019 5.2751
0.0000 3.1811 0.0000
-1.2019 -1.2019 5.2751
3.1811 0.0000 0.0000
3.1811 3.1811 0.0000
-2.0726 2.0726 6.1672
5.2537 5.2537 2.0418
2.0726 -2.0726 6.1672
1.1085 1.1085 2.0418
```

Summary:
Energy of formation in eV/atom: 0.319
Polymorph energy (0 for the lowest one) in meV per atom: 160

=====

Entry from Alexandria via LeMat-Bulk: an optimized crystal structure of Pr8Dy5Mg (PBE).

The structure in POSCAR format:
```
Pr8Dy5Mg
1.0
7.7488 -0.9018 -3.5006
-4.1123 7.6356 -2.0396
-0.7002 0.7191 8.7898
Pr Dy Mg
8 5 1
Cartesian
4.3607 4.0889 3.3031
-3.3868 7.1714 3.4860
4.1375 2.4740 0.3666
1.9164 3.1309 5.7529
0.9056 5.1548 -0.9949
4.9989 0.0050 -2.2590
0.7253 2.4590 1.9747
-1.7094 4.6747 1.3714
-1.2657 2.4676 7.1910
3.6461 5.7614 -3.3222
1.6220 5.8790 2.4240
3.2472 0.3912 3.1092
2.0315 0.0114 -0.2081
-0.7310 5.0888 4.6455
```

Summary:
Energy of formation in eV/atom: 0.118

=====

Entry from Alexandria via LeMat-Bulk: an optimized crystal structure of CeEuBiPb (PBE).

The structure in POSCAR format:
```
CeEuBiPb
1.0
-4.1304 3.0748 -2.3102
-2.2126 -1.5222 -4.9638
-5.2515 -2.0536 -0.2378
Pb Eu Bi Ce
1 1 1 1
Cartesian
-2.8986 -0.1252 -1.8780
0.0000 0.0000 0.0000
-8.6959 -0.3757 -5.6339
-5.7973 -0.2505 -3.7559
```

Summary:
Energy of formation in eV/atom: -0.504

=====

Entry from Alexandria via LeMat-Bulk: an optimized crystal structure of Ca2AlAgH (PBE).

The structure in POSCAR format:
```
Ca2AlAgH
1.0
-3.6534 -1.7735 3.1383
-2.8023 -1.4134 -4.0609
1.7307 -3.5144 0.0288
H Ca Al Ag
1 2 1 1
Cartesian
0.0000 0.0000 0.0000
-1.4011 -0.7067 -2.0305
-1.8267 -0.8867 1.5692
-2.3625 -3.3506 -0.4469
0.8654 -1.7572 0.0144
```

Summary:
Polymorph energy (0 for the lowest one) in meV per atom: 0

=====

Entry from Alexandria via LeMat-Bulk: an optimized crystal structure of RbHSeCl (PBE).

The structure in POSCAR format:
```
RbHSeCl
1.0
-2.8524 3.4275 1.0247
-0.1144 -1.5044 4.7137
5.1454 1.6796 0.6609
Rb H Se Cl
1 1 1 1
Cartesian
0.7786 2.1816 0.7152
4.5196 1.5957 3.2173
3.1952 2.2533 3.3950
-0.7283 3.0948 3.5684
```

Summary:
Polymorph energy (0 for the lowest one) in meV per atom: 0

=====

Entry from Alexandria via LeMat-Bulk: an optimized crystal structure of La5MgHg6 (PBE).

The structure in POSCAR format:
```
La5MgHg6
1.0
-4.4230 -2.7552 -1.3365
4.5693 -5.2117 6.4407
-2.8390 8.7693 2.1359
Mg Hg La
1 6 5
Cartesian
0.0000 0.0000 0.0000
-1.8135 2.3989 1.0616
-3.2158 2.8133 4.8206
-2.8560 -1.1884 1.0555
0.1633 1.9908 6.1845
0.5231 -2.0109 2.4194
-0.8792 -1.5965 6.1784
-3.8344 5.0966 2.1743
-0.3983 4.1633 3.5541
-1.3464 0.4012 3.6200
2.1286 -0.6057 5.0224
1.1417 -4.2942 5.0657
```

Summary:
Energy of formation in eV/atom: -0.474

=====

Entry from Alexandria via LeMat-Bulk: an optimized crystal structure of GeSb3P (PBE).

The structure in POSCAR format:
```
GeSb3P
1.0
-2.5038 4.5233 0.5340
-4.5229 -2.5410 0.3168
0.5368 -0.3121 5.1603
Sb Ge P
3 1 1
Cartesian
-2.2615 -1.2705 0.1584
0.2684 -0.1561 2.5801
-1.2519 2.2616 0.2670
-3.2450 0.8351 3.0056
0.0000 0.0000 0.0000
```

Summary:
Polymorph energy (0 for the lowest one) in meV per atom: 0

=====

Entry from Alexandria via LeMat-Bulk: an optimized crystal structure of TaAgPd3 (PBE).

The structure in POSCAR format:
```
TaAgPd3
1.0
4.8352 0.0000 0.0000
0.0000 4.8352 0.0000
0.0000 0.0000 4.8352
Pd Ag Ta
3 1 1
Cartesian
0.0000 2.4176 0.0000
0.0000 0.0000 2.4176
2.4176 0.0000 0.0000
2.4176 2.4176 2.4176
0.0000 0.0000 0.0000
```

Summary:
Energy of formation in eV/atom: 0.846
Polymorph energy (0 for the lowest one) in meV per atom: 0